Computed, not measured: Dy2Al9Rh3 after structural relaxation at the PBE-GGA level of DFT.

The structure in CIF format:
```
data_Dy2Al9Rh3
_chemical_formula_sum 'Dy8 Al36 Rh12'
_cell_length_a 13.151
_cell_length_b 7.537
_cell_length_c 10.461
_cell_angle_alpha 90.00
_cell_angle_beta 114.82
_cell_angle_gamma 90.00
_space_group_name_H-M_alt 'C 1 2/c 1'
_space_group_IT_number 15
_space_group_name_Hall '-C 2yc'
loop_
_atom_site_label
_atom_site_fract_x
_atom_site_fract_y
_atom_site_fract_z
Dy1 0.169 0.083 0.250
Al1 0.000 0.369 0.250
Al2 0.059 0.083 0.925
Al3 0.101 0.415 0.053
Al4 0.104 0.316 0.748
Al5 0.225 0.417 0.428
Rh1 0.086 0.242 0.501
Rh2 0.250 0.250 0.000
```

Values from the calculation:
- Density of states at the Fermi level: 0.43 states/eV per atom
- Raw total energy: -5.474 eV/atom
- Mass density: 6.2 g/cm3
- E_form: -835 meV/atom
- Crystal system: monoclinic